Entry 1:
Sc6TlAu5: relaxed, PBE.

Cell lengths 4.8330, 14.5156, 6.9457 Å; angles 90.00, 90.00, 90.00 degrees
Closest atoms and distances in Å follow each position.
Space group Cmmm (No. 65)
Unique sites:
Sc1 0.0000 0.0000 0.2367 [4 per cell]  6 Au 2.92-2.96, 2 Tl 3.03
Sc2 0.0000 0.3291 0.2460 [8 per cell]  7 Au 2.91-3.02, 1 Tl 3.04
Tl1 0.0000 0.5000 0.5000 [2 per cell]  8 Sc 3.03-3.04, 4 Au 3.36
Au1 0.0000 0.1604 0.5000 [4 per cell]  8 Sc 2.96-3.02
Au2 0.0000 0.1667 0.0000 [4 per cell]  8 Sc 2.91-2.96
Au3 0.0000 0.5000 0.0000 [2 per cell]  8 Sc 2.92-3.01

Calculated volume = 487.3 Å³ per cell
Final energy = -5.435 eV per atom

Entry 2:
Sc2Tl2Au: relaxed, PBE.

Cell lengths 7.2357, 7.2357, 4.7146 Å; angles 90.00, 90.00, 90.00 degrees
Closest atoms and distances in Å follow each position.
Space group P4/mbm (No. 127)
Unique sites:
Sc1 0.1537 0.3463 0.0000 [4 per cell]  2 Au 2.74, 2 Tl 3.05
Tl1 0.1575 0.6575 0.5000 [4 per cell]  6 Sc 3.05-3.26, 1 Tl 3.22
Au1 0.0000 0.0000 0.0000 [2 per cell]  4 Sc 2.74

Distance to the lowest polymorph of the same formula = 118 meV/atom
Calculated volume = 246.8 Å³ per cell
Final energy = -4.349 eV per atom

Entry 3:
ScTl2Au: relaxed, PBE.

Cell lengths 3.5693, 3.5693, 7.1921 Å; angles 90.00, 90.00, 90.00 degrees
Closest atoms and distances in Å follow each position.
Space group P4/mmm (No. 123)
Unique sites:
Sc1 0.0000 0.0000 0.0000 [1 per cell]  8 Tl 3.14
Tl1 0.5000 0.5000 0.2591 [2 per cell]  4 Au 3.06, 4 Sc 3.14
Au1 0.0000 0.0000 0.5000 [1 per cell]  8 Tl 3.06

Calculated volume = 91.6 Å³ per cell
Final energy = -3.647 eV per atom

no.,ΔE_f (meV per atom)
1,-707
2,-214
3,-61